[1]
A plane-wave DFT calculation with PBE was carried out for a geometry-optimized La8Ga3PtI4 structure.

Computed properties:
The uncorrected formation energy is -897 meV/atom. The density of states at the Fermi level is 17.2 states/eV/f.u. The calculation puts the volume at 33.56 Å³ per atom.

abc: 15.611 8.901 9.336
angles: 90.00 124.12 90.00
Space group C2/m (No. 12)
Inequivalent atoms, fractional coordinates:
La 0.013 0.243 0.298 [8 per cell]
La 0.235 0.000 0.710 [4 per cell]
La 0.239 0.500 0.719 [4 per cell]
Ga 0.000 0.500 0.500 [2 per cell]
Ga 0.250 0.250 0.500 [4 per cell]
Pt 0.000 0.000 0.500 [2 per cell]
I 0.000 0.000 0.000 [2 per cell]
I 0.000 0.500 0.000 [2 per cell]
I 0.250 0.250 0.000 [4 per cell]

[2]
A plane-wave DFT calculation with PBE was carried out for a geometry-optimized RbYGeSe3 structure.

Computed properties:
The uncorrected formation energy is -1256 meV/atom. The calculation puts the volume at 32.16 Å³ per atom.

abc: 8.924 4.077 11.307
angles: 90.00 110.26 90.00
Space group P2_1/m (No. 11)
Inequivalent atoms, fractional coordinates:
Rb 0.235 0.250 0.278 [2 per cell]
Y 0.363 0.750 0.845 [2 per cell]
Ge 0.127 0.250 0.561 [2 per cell]
Se 0.115 0.250 0.777 [2 per cell]
Se 0.326 0.750 0.579 [2 per cell]
Se 0.399 0.750 0.105 [2 per cell]

[3]
A plane-wave DFT calculation with PBE was carried out for a geometry-optimized CsK2Hf3O8 structure.

Computed properties:
The uncorrected formation energy is -2668 meV/atom. The density of states at the Fermi level is 5.0 states/eV/f.u. The calculation puts the volume at 17.69 Å³ per atom.

abc: 6.5579 6.5579 19.9455
angles: 90.00 90.00 120.00
Space group R3m (No. 160, hexagonal axes)
Inequivalent atoms, fractional coordinates:
Cs 0.0000 0.0000 0.0000 [3 per cell]
K 0.0000 0.0000 0.2628 [3 per cell]
K 0.0000 0.0000 0.6357 [3 per cell]
Hf 0.0018 0.5009 0.1373 [9 per cell]
O 0.0000 0.0000 0.4144 [3 per cell]
O 0.0000 0.0000 0.8574 [3 per cell]
O 0.0493 0.5247 0.4155 [9 per cell]
O 0.1865 0.3729 0.1906 [9 per cell]

[4]
A plane-wave DFT calculation with PBE was carried out for a geometry-optimized Ac3Zn2Hg2 structure.

Computed properties:
The value obtained for the formation energy is -0.3231 eV per atom. The density of states at the Fermi level is 5.4 states/eV/f.u. The calculation puts the volume at 29.96 Å³ per atom.

abc: 5.255 6.347 7.092
angles: 78.02 89.95 65.60
Space group P-1 (No. 2)
Inequivalent atoms, fractional coordinates:
Ac 0.000 0.000 0.000 [1 per cell]
Ac 0.342 0.315 0.276 [2 per cell]
Zn 0.101 0.799 0.455 [2 per cell]
Hg 0.345 0.310 0.757 [2 per cell]

[5]
A plane-wave DFT calculation with PBE was carried out for a geometry-optimized Sc6Hg5Bi structure.

Computed properties:
The value obtained for the formation energy is -0.4242 eV per atom. The density of states at the Fermi level is 12.5 states/eV/f.u. The calculation puts the volume at 22.41 Å³ per atom.

abc: 5.061 6.977 15.227
angles: 90.00 90.00 90.00
Space group Immm (No. 71)
Inequivalent atoms, fractional coordinates:
Sc 0.000 0.244 0.000 [4 per cell]
Sc 0.000 0.252 0.331 [8 per cell]
Hg 0.000 0.000 0.167 [4 per cell]
Hg 0.000 0.500 0.174 [4 per cell]
Hg 0.000 0.500 0.500 [2 per cell]
Bi 0.000 0.000 0.500 [2 per cell]

[6]
A plane-wave DFT calculation with PBE was carried out for a geometry-optimized Tb2Tl2IrO6 structure.

Computed properties:
The uncorrected formation energy is -1832 meV/atom. The density of states at the Fermi level is 6.9 states/eV/f.u. The calculation puts the volume at 17.53 Å³ per atom.

abc: 5.807 10.109 6.774
angles: 90.00 104.07 90.00
Space group C2/m (No. 12)
Inequivalent atoms, fractional coordinates:
Tb 0.000 0.165 0.000 [4 per cell]
Tl 0.000 0.339 0.500 [4 per cell]
Ir 0.000 0.500 0.000 [2 per cell]
O 0.197 0.345 0.163 [8 per cell]
O 0.249 0.000 0.173 [4 per cell]

[7]
A plane-wave DFT calculation with PBE was carried out for a geometry-optimized Li4Np3FeS8 structure.

Computed properties:
The uncorrected formation energy is -1174 meV/atom. The density of states at the Fermi level is 34.7 states/eV/f.u. The calculation puts the volume at 19.47 Å³ per atom.

abc: 7.6509 7.6509 18.4310
angles: 90.00 90.00 120.00
Space group R-3m (No. 166, hexagonal axes)
Inequivalent atoms, fractional coordinates:
Li 0.0000 0.0000 0.0000 [3 per cell]
Li 0.0000 0.5000 0.0000 [9 per cell]
Np 0.0000 0.5000 0.5000 [9 per cell]
Fe 0.0000 0.0000 0.5000 [3 per cell]
S 0.0000 0.0000 0.2521 [6 per cell]
S 0.0119 0.5060 0.2483 [18 per cell]

[8]
A plane-wave DFT calculation with PBE was carried out for a geometry-optimized La3Tb2SmHo6 structure.

Computed properties:
The value obtained for the formation energy is 0.0191 eV per atom. The density of states at the Fermi level is 15.3 states/eV/f.u. The calculation puts the volume at 32.73 Å³ per atom.

abc: 6.240 10.809 11.831
angles: 90.00 100.11 90.00
Space group C2/m (No. 12)
Inequivalent atoms, fractional coordinates:
La 0.000 0.000 0.000 [2 per cell]
La 0.000 0.333 0.000 [4 per cell]
Tb 0.000 0.167 0.500 [4 per cell]
Sm 0.000 0.500 0.500 [2 per cell]
Ho 0.248 0.000 0.745 [4 per cell]
Ho 0.248 0.333 0.745 [8 per cell]

[9]
A plane-wave DFT calculation with PBE was carried out for a geometry-optimized Ba4GaAs4 structure.

Computed properties:
The value obtained for the formation energy is -0.9696 eV per atom. The density of states at the Fermi level is 7.3 states/eV/f.u. The calculation puts the volume at 34.63 Å³ per atom.

abc: 9.520 9.520 6.878
angles: 90.00 90.00 90.00
Space group P4_2/nmc (No. 137, origin choice 2)
Inequivalent atoms, fractional coordinates:
Ba 0.016 0.250 0.056 [8 per cell]
Ga 0.250 0.750 0.250 [2 per cell]
As 0.024 0.750 0.451 [8 per cell]

[10]
A plane-wave DFT calculation with PBE was carried out for a geometry-optimized LaTl2GeBr structure.

Computed properties:
The uncorrected formation energy is 339 meV/atom. The density of states at the Fermi level is 4.8 states/eV/f.u. The calculation puts the volume at 53.04 Å³ per atom.

abc: 6.774 6.774 5.780
angles: 90.00 90.00 90.00
Space group P4/mmm (No. 123)
Inequivalent atoms, fractional coordinates:
La 0.000 0.000 0.000 [1 per cell]
Tl 0.000 0.500 0.000 [2 per cell]
Ge 0.500 0.500 0.500 [1 per cell]
Br 0.000 0.000 0.500 [1 per cell]

[11]
A plane-wave DFT calculation with PBE was carried out for a geometry-optimized InHSe2N structure.

Computed properties:
The calculation puts the total energy at -3.262 eV per atom. The density of states at the Fermi level is 2.3 states/eV/f.u. The calculation puts the volume at 18.39 Å³ per atom.

abc: 3.780 3.780 6.435
angles: 90.00 90.00 90.00
Space group P4/mmm (No. 123)
Inequivalent atoms, fractional coordinates:
In 0.000 0.000 0.000 [1 per cell]
H 0.500 0.500 0.500 [1 per cell]
Se 0.000 0.500 0.500 [2 per cell]
N 0.500 0.500 0.000 [1 per cell]

[12]
A plane-wave DFT calculation with PBE was carried out for a geometry-optimized PaV4Bi structure.

Computed properties:
The value obtained for the formation energy is 0.2678 eV per atom. The density of states at the Fermi level is 8.1 states/eV/f.u. The calculation puts the volume at 17.97 Å³ per atom.

abc: 7.555 7.555 7.555
angles: 90.00 90.00 90.00
Space group F-43m (No. 216)
Inequivalent atoms, fractional coordinates:
Pa 0.000 0.000 0.000 [4 per cell]
V 0.131 0.131 0.369 [16 per cell]
Bi 0.250 0.250 0.750 [4 per cell]

[13]
A plane-wave DFT calculation with PBE was carried out for a geometry-optimized Ho3MnPt12 structure.

Computed properties:
The value obtained for the formation energy is -0.8628 eV per atom. The density of states at the Fermi level is 16.7 states/eV/f.u. The calculation puts the volume at 16.83 Å³ per atom.

abc: 4.076 4.076 16.203
angles: 90.00 90.00 90.00
Space group P4/mmm (No. 123)
Inequivalent atoms, fractional coordinates:
Ho 0.000 0.000 0.000 [1 per cell]
Ho 0.000 0.000 0.255 [2 per cell]
Mn 0.000 0.000 0.500 [1 per cell]
Pt 0.000 0.500 0.128 [4 per cell]
Pt 0.000 0.500 0.384 [4 per cell]
Pt 0.500 0.500 0.000 [1 per cell]
Pt 0.500 0.500 0.256 [2 per cell]
Pt 0.500 0.500 0.500 [1 per cell]

[14]
A plane-wave DFT calculation with PBE was carried out for a geometry-optimized PRu2Br structure.

Computed properties:
The uncorrected formation energy is -73 meV/atom. The density of states at the Fermi level is 2.9 states/eV/f.u. The calculation puts the volume at 17.50 Å³ per atom.

abc: 6.256 3.612 6.531
angles: 90.00 108.47 90.00
Space group C2/m (No. 12)
Inequivalent atoms, fractional coordinates:
P 0.000 0.000 0.000 [2 per cell]
Ru 0.219 0.500 0.158 [4 per cell]
Br 0.000 0.500 0.500 [2 per cell]

[15]
A plane-wave DFT calculation with PBE was carried out for a geometry-optimized MgNiAg2 structure.

Computed properties:
The value obtained for the formation energy is -0.0159 eV per atom. The density of states at the Fermi level is 1.3 states/eV/f.u. The calculation puts the volume at 16.14 Å³ per atom.

abc: 2.950 3.757 5.826
angles: 90.00 90.18 90.00
Space group Pm (No. 6)
Inequivalent atoms, fractional coordinates:
Mg 0.000 0.000 0.000 [1 per cell]
Ni 0.501 0.500 0.224 [1 per cell]
Ag 0.000 0.000 0.461 [1 per cell]
Ag 0.501 0.500 0.734 [1 per cell]

[16]
A plane-wave DFT calculation with PBE was carried out for a geometry-optimized CeSmOs2 structure.

Computed properties:
The value obtained for the formation energy is -0.0358 eV per atom. The density of states at the Fermi level is 1.0 states/eV/f.u. The calculation puts the volume at 20.97 Å³ per atom.

abc: 3.473 3.473 6.957
angles: 90.00 90.00 90.00
Space group P4/mmm (No. 123)
Inequivalent atoms, fractional coordinates:
Ce 0.000 0.000 0.000 [1 per cell]
Sm 0.000 0.000 0.500 [1 per cell]
Os 0.500 0.500 0.233 [2 per cell]

[17]
A plane-wave DFT calculation with PBE was carried out for a geometry-optimized ErTlO2 structure.

Computed properties:
The uncorrected formation energy is -2395 meV/atom. The density of states at the Fermi level is 0.0 states/eV/f.u. The calculation puts the volume at 16.95 Å³ per atom.

abc: 3.4679 3.4679 19.5308
angles: 90.00 90.00 120.00
Space group R-3m (No. 166, hexagonal axes)
Inequivalent atoms, fractional coordinates:
Er 0.0000 0.0000 0.0000 [3 per cell]
Tl 0.0000 0.0000 0.5000 [3 per cell]
O 0.0000 0.0000 0.2766 [6 per cell]